6
Lattice="2.0745 -6.8511 0.0000 2.0745 6.8511 0.0000 0.0000 0.0000 4.1110" Properties=species:S:1:pos:R:3 comment="MgZrGa (PBE-GGA, optimized geometry)" formation_energy_ev_per_atom=-0.353 volume_a3_per_cell=116.9 pbc="T T T"
Mg 0.0000 0.0000 0.0000
Mg 2.0745 0.0000 2.0555
Zr 2.0745 4.5600 2.0555
Zr 2.0745 -4.5600 2.0555
Ga 2.0745 2.3187 0.0000
Ga 2.0745 -2.3187 0.0000

***

5
Lattice="5.1894 0.0000 0.0000 0.0000 5.1894 0.0000 0.0000 0.0000 4.2314" Properties=species:S:1:pos:R:3 comment="InPbS2N (PBE-GGA, optimized geometry)" de_polymorph_ev_per_atom=0.0000 raw_formation_energy_ev_per_atom=0.455 volume_a3_per_cell=114.0 pbc="T T T"
In 0.0000 0.0000 0.0000
Pb 2.5947 2.5947 2.1157
S 0.0000 2.5947 0.0000
S 2.5947 0.0000 0.0000
N 0.0000 0.0000 2.1157